(1)
{"formula": "HfCo2B4", "functional": "PBE-GGA", "state": "optimized geometry", "cell": [[3.0719, 0.0000, 0.0000], [0.0000, 3.2306, 0.0000], [0.0000, 0.0000, 12.4956]], "species": ["Hf", "Hf", "Co", "Co", "Co", "Co", "B", "B", "B", "B", "B", "B", "B", "B"], "frac_coords": [[0.0000, 0.0000, 0.0000], [0.5000, 0.5000, 0.5000], [0.0000, 0.5000, 0.3129], [0.0000, 0.5000, 0.6871], [0.5000, 0.0000, 0.1871], [0.5000, 0.0000, 0.8129], [0.0000, 0.0000, 0.4214], [0.0000, 0.0000, 0.5786], [0.0000, 0.5000, 0.1519], [0.0000, 0.5000, 0.8481], [0.5000, 0.0000, 0.3481], [0.5000, 0.0000, 0.6519], [0.5000, 0.5000, 0.0786], [0.5000, 0.5000, 0.9214]], "magmom_total_mub_per_fu": 0.0, "dft_energy_ev_per_fu": -54.7}


(2)
{"formula": "Pr2GeF", "functional": "PBE-GGA", "state": "optimized geometry", "cell": [[4.0725, 0.0000, 0.0000], [-2.0363, 3.5269, 0.0000], [0.0000, 0.0000, 21.1336]], "species": ["Pr", "Pr", "Pr", "Pr", "Pr", "Pr", "Ge", "Ge", "Ge", "F", "F", "F"], "frac_coords": [[0.0000, 0.0000, 0.0000], [0.0000, 0.0000, 0.1720], [0.3333, 0.6667, 0.6667], [0.3333, 0.6667, 0.8387], [0.6667, 0.3333, 0.3333], [0.6667, 0.3333, 0.5053], [0.0000, 0.0000, 0.5856], [0.3333, 0.6667, 0.2523], [0.6667, 0.3333, 0.9189], [0.0000, 0.0000, 0.4086], [0.3333, 0.6667, 0.0753], [0.6667, 0.3333, 0.7419]], "formation_energy_uncorrected_ev_per_atom": -1.4859, "magmom_total_mub_per_fu": 0.0, "dft_energy_ev_per_fu": -22.0, "e_above_lowest_polymorph_ev_per_atom": 0.136}


(3)
{"formula": "PmPa2P3", "functional": "PBE-GGA", "state": "optimized geometry", "cell": [[8.0328, 0.0000, 0.0000], [0.0000, 5.6754, 0.0000], [0.0000, 0.0000, 12.0123]], "species": ["Pm", "Pm", "Pm", "Pm", "Pa", "Pa", "Pa", "Pa", "Pa", "Pa", "Pa", "Pa", "P", "P", "P", "P", "P", "P", "P", "P", "P", "P", "P", "P"], "frac_coords": [[0.1242, 0.2500, 0.0796], [0.3758, 0.7500, 0.5796], [0.6242, 0.2500, 0.4204], [0.8758, 0.7500, 0.9204], [0.1233, 0.2500, 0.4161], [0.1245, 0.2500, 0.7524], [0.3755, 0.7500, 0.2524], [0.3767, 0.7500, 0.9161], [0.6233, 0.2500, 0.0839], [0.6245, 0.2500, 0.7476], [0.8755, 0.7500, 0.2476], [0.8767, 0.7500, 0.5839], [0.1201, 0.7500, 0.4136], [0.1260, 0.7500, 0.7510], [0.1332, 0.7500, 0.0869], [0.3668, 0.2500, 0.5869], [0.3740, 0.2500, 0.2510], [0.3799, 0.2500, 0.9136], [0.6201, 0.7500, 0.0864], [0.6260, 0.7500, 0.7490], [0.6332, 0.7500, 0.4131], [0.8668, 0.2500, 0.9131], [0.8740, 0.2500, 0.2490], [0.8799, 0.2500, 0.5864]], "magmom_total_mub_per_fu": 0.0, "dft_energy_ev_per_fu": -48.3}